DFT (SCAN) results for a crystal of Sr2Ni2Bi relaxed with PBEsol.

Calculated values
The total energy comes out at -31.19 eV per atom. Its crystal system is tetragonal. The calculation puts the density of states at the Fermi level at 3.04 states/eV/f.u. The calculation puts the theoretical density at 6.569 Mg/m³.

a = 5.8331 Å, b = 5.8331 Å, c = 7.4535 Å
α = 90.00°, β = 90.00°, γ = 90.00°
With the nearest neighbours (Å) after each atom.
Space group I4/mmm (No. 139)
One atom of each set of equivalent atoms:
Sr: 0.0000 0.5000 0.2500 (multiplicity 4)  4 Ni 3.01
Ni: 0.0000 0.0000 0.1511 (multiplicity 4)  1 Ni 2.25
Bi: 0.0000 0.0000 0.5000 (multiplicity 2)  2 Ni 2.60

DFT (SCAN) results for a crystal of Tb4Ni3Bi8 relaxed with PBEsol.

Calculated values
The total energy comes out at -58.17 eV per atom. Its crystal system is tetragonal. The calculation puts the density of states at the Fermi level at 8.69 states/eV/f.u. The calculation puts the theoretical density at 11.182 Mg/m³.

a = 4.4685 Å, b = 4.4685 Å, c = 18.4706 Å
α = 90.00°, β = 90.00°, γ = 90.00°
With the nearest neighbours (Å) after each atom.
Space group P-4m2 (No. 115)
One atom of each set of equivalent atoms:
Tb: 0.0000 0.5000 0.1114 (multiplicity 2)  2 Ni 3.04, 9 Bi 3.25-3.38
Tb: 0.0000 0.5000 0.6129 (multiplicity 2)  4 Ni 3.06, 8 Bi 3.23-3.40
Ni: 0.0000 0.0000 0.0000 (multiplicity 1)  4 Bi 2.59
Ni: 0.0000 0.0000 0.5000 (multiplicity 1)  4 Bi 2.64
Ni: 0.5000 0.5000 0.5000 (multiplicity 1)  4 Bi 2.64
Bi: 0.0000 0.0000 0.2484 (multiplicity 2)  4 Bi 3.16, 4 Tb 3.37-3.40
Bi: 0.0000 0.5000 0.4241 (multiplicity 2)  4 Ni 2.64
Bi: 0.0000 0.5000 0.9296 (multiplicity 2)  2 Ni 2.59
Bi: 0.5000 0.5000 0.2490 (multiplicity 2)  4 Bi 3.16, 4 Tb 3.38-3.39

DFT (SCAN) results for a crystal of TbNiBi relaxed with PBEsol.

Calculated values
The total energy comes out at -47.98 eV per atom. Its crystal system is cubic. The calculation puts the theoretical density at 10.830 Mg/m³.

a = 6.3958 Å, b = 6.3958 Å, c = 6.3958 Å
α = 90.00°, β = 90.00°, γ = 90.00°
With the nearest neighbours (Å) after each atom.
Space group F-43m (No. 216)
One atom of each set of equivalent atoms:
Tb: 0.0000 0.0000 0.0000 (multiplicity 4)  4 Ni 2.77
Ni: 0.2500 0.2500 0.7500 (multiplicity 4)  4 Bi 2.77, 4 Tb 2.77
Bi: 0.0000 0.0000 0.5000 (multiplicity 4)  4 Ni 2.77

DFT (SCAN) results for a crystal of TcNi3Bi relaxed with PBEsol.

Calculated values
The total energy comes out at -31.25 eV per atom. Its crystal system is cubic. The calculation puts the density of states at the Fermi level at 4.53 states/eV/f.u. The calculation puts the theoretical density at 9.082 Mg/m³.

a = 4.4533 Å, b = 4.4533 Å, c = 4.4533 Å
α = 90.00°, β = 90.00°, γ = 90.00°
With the nearest neighbours (Å) after each atom.
Space group Pm-3m (No. 221)
One atom of each set of equivalent atoms:
Tc: 0.0000 0.0000 0.0000 (multiplicity 1)  6 Ni 2.23
Ni: 0.0000 0.0000 0.5000 (multiplicity 3)  2 Tc 2.23
Bi: 0.5000 0.5000 0.5000 (multiplicity 1)  12 Ni 3.15

DFT (SCAN) results for a crystal of Tc3NiBi relaxed with PBEsol.

Calculated values
The total energy comes out at -37.27 eV per atom. Its crystal system is cubic. The calculation puts the density of states at the Fermi level at 4.94 states/eV/f.u. The calculation puts the theoretical density at 7.783 Mg/m³. The calculation puts the energy above the lowest structure with this stoichiometry at 1.3971 eV/atom.

a = 4.9303 Å, b = 4.9303 Å, c = 4.9303 Å
α = 90.00°, β = 90.00°, γ = 90.00°
With the nearest neighbours (Å) after each atom.
Space group Pm-3m (No. 221)
One atom of each set of equivalent atoms:
Tc: 0.0000 0.0000 0.5000 (multiplicity 3)  2 Bi 2.47
Ni: 0.5000 0.5000 0.5000 (multiplicity 1)  12 Tc 3.49
Bi: 0.0000 0.0000 0.0000 (multiplicity 1)  6 Tc 2.47

DFT (SCAN) results for a crystal of Tc3NiBi relaxed with PBEsol.

Calculated values
The total energy comes out at -38.67 eV per atom. Its crystal system is cubic. The calculation puts the density of states at the Fermi level at 4.01 states/eV/f.u. The calculation puts the theoretical density at 10.548 Mg/m³. The calculation puts the energy above the lowest structure with this stoichiometry at 0.0000 eV/atom.

a = 4.4551 Å, b = 4.4551 Å, c = 4.4551 Å
α = 90.00°, β = 90.00°, γ = 90.00°
With the nearest neighbours (Å) after each atom.
Space group Pm-3m (No. 221)
One atom of each set of equivalent atoms:
Tc: 0.0000 0.0000 0.5000 (multiplicity 3)  2 Ni 2.23
Ni: 0.0000 0.0000 0.0000 (multiplicity 1)  6 Tc 2.23
Bi: 0.5000 0.5000 0.5000 (multiplicity 1)  12 Tc 3.15

DFT (SCAN) results for a crystal of NiBi3Te relaxed with PBEsol.

Calculated values
The total energy comes out at -56.36 eV per atom. Its crystal system is cubic. The calculation puts the density of states at the Fermi level at 8.73 states/eV/f.u. The calculation puts the theoretical density at 7.226 Mg/m³. The formation energy (no corrections) comes out at 1.47 eV/atom.

a = 5.7174 Å, b = 5.7174 Å, c = 5.7174 Å
α = 90.00°, β = 90.00°, γ = 90.00°
With the nearest neighbours (Å) after each atom.
Space group Pm-3m (No. 221)
One atom of each set of equivalent atoms:
Ni: 0.0000 0.0000 0.0000 (multiplicity 1)  12 Bi 4.04
Bi: 0.0000 0.5000 0.5000 (multiplicity 3)  2 Te 2.86
Te: 0.5000 0.5000 0.5000 (multiplicity 1)  6 Bi 2.86

DFT (SCAN) results for a crystal of Ti2Ni2Bi relaxed with PBEsol.

Calculated values
The total energy comes out at -28.75 eV per atom. Its crystal system is tetragonal. The calculation puts the density of states at the Fermi level at 3.34 states/eV/f.u. The calculation puts the theoretical density at 8.526 Mg/m³.

a = 4.0596 Å, b = 4.0596 Å, c = 9.9769 Å
α = 90.00°, β = 90.00°, γ = 90.00°
With the nearest neighbours (Å) after each atom.
Space group I4/mmm (No. 139)
One atom of each set of equivalent atoms:
Ti: 0.0000 0.5000 0.2500 (multiplicity 4)  4 Ni 2.44
Ni: 0.0000 0.0000 0.1144 (multiplicity 4)  1 Ni 2.28, 4 Ti 2.44
Bi: 0.0000 0.0000 0.5000 (multiplicity 2)  8 Ni 3.09, 8 Ti 3.22